{
  "formula": "SrLa2GaFe",
  "functional": "PBE",
  "state": "optimized geometry",
  "spacegroup": "P4/mmm (123)",
  "crystal_system": "tetragonal",
  "energy_ev_per_cell": -23.328,
  "formation_energy_ev_per_atom": -0.060,
  "lattice_angstrom": [[5.3250, 0.0000, 0.0000], [0.0000, 5.3250, 0.0000], [0.0000, 0.0000, 5.0308]],
  "species": ["Sr", "La", "La", "Ga", "Fe"],
  "frac_coords": [[0.0000, 0.0000, 0.0000], [0.0000, 0.5000, 0.5000], [0.5000, 0.0000, 0.5000], [0.5000, 0.5000, 0.0000], [0.5000, 0.5000, 0.5000]]
}

---

{
  "formula": "ZrRe2Te",
  "functional": "PBE",
  "state": "optimized geometry",
  "spacegroup": "R-3m (166)",
  "crystal_system": "trigonal",
  "e_form_raw_ev_per_atom": 0.536,
  "energy_ev_per_cell": -103.326,
  "lattice_angstrom": [[3.1670, 0.0000, 0.0000], [-1.5835, 2.7427, 0.0000], [0.0000, 0.0000, 25.8564]],
  "species": ["Zr", "Zr", "Zr", "Re", "Re", "Re", "Re", "Re", "Re", "Te", "Te", "Te"],
  "frac_coords": [[0.0000, 0.0000, 0.0000], [0.3333, 0.6667, 0.6667], [0.6667, 0.3333, 0.3333], [0.0000, 0.0000, 0.2502], [0.0000, 0.0000, 0.7498], [0.3333, 0.6667, 0.4165], [0.3333, 0.6667, 0.9168], [0.6667, 0.3333, 0.0832], [0.6667, 0.3333, 0.5835], [0.0000, 0.0000, 0.5000], [0.3333, 0.6667, 0.1667], [0.6667, 0.3333, 0.8333]]
}

---

{
  "formula": "SiSe2Br",
  "functional": "PBE",
  "state": "optimized geometry",
  "spacegroup": "P2/m (10)",
  "crystal_system": "monoclinic",
  "e_form_raw_ev_per_atom": -0.113,
  "energy_ev_per_cell": -14.517,
  "lattice_angstrom": [[5.1816, 0.0000, 0.0000], [0.0000, 3.7120, 0.0000], [-1.4097, 0.0000, 5.0824]],
  "species": ["Si", "Se", "Se", "Br"],
  "frac_coords": [[0.0000, 0.0000, 0.0000], [0.3638, 0.5000, 0.1493], [0.6362, 0.5000, 0.8507], [0.0000, 0.0000, 0.5000]]
}

---

For reference, mass density by record: 5.72; 13.11; 4.52 Mg/m³.